A relaxed NaScCuSe2 crystal. Source: the Alexandria database, functional GGA-PBE.

```
data_NaScCuSe2
_chemical_formula_sum 'Na2 Sc2 Cu2 Se4'
_space_group_name_H-M_alt 'P 1 2/c 1'
_space_group_IT_number 13
_cell_length_a 6.989
_cell_length_b 4.521
_cell_length_c 7.439
_cell_angle_alpha 90.00
_cell_angle_beta 98.88
_cell_angle_gamma 90.00
loop_
_space_group_symop_operation_xyz
'x,y,z'
'-x,-y,-z'
'-x,y,-z+1/2'
'x,-y,z+1/2'
loop_
_atom_site_label
_atom_site_fract_x
_atom_site_fract_y
_atom_site_fract_z
Na1 0.000 0.146 0.250
Sc1 0.500 0.495 0.750
Cu1 0.500 0.000 0.000
Se1 0.241 0.333 0.965
```

Computed properties:
The formation energy from raw total energies comes out at -0.912 eV/atom. The calculation puts the polymorph energy (0 for the lowest one) at 0.0 meV per atom. The density of states at the Fermi level comes out at 0.480 states/eV/atom. The total energy comes out at -4.6547 eV per atom. The calculation puts the total magnetization at 0.000 μB per atom.

A relaxed NaScCuSe2 crystal. Source: the Alexandria database, functional GGA-PBE.

```
data_NaScCuSe2
_chemical_formula_sum 'Na1 Sc1 Cu1 Se2'
_space_group_name_H-M_alt 'P 4/m m m'
_space_group_IT_number 123
_space_group_name_Hall '-P 4 2'
_cell_length_a 5.066
_cell_length_b 5.066
_cell_length_c 4.659
_cell_angle_alpha 90.00
_cell_angle_beta 90.00
_cell_angle_gamma 90.00
loop_
_atom_site_label
_atom_site_fract_x
_atom_site_fract_y
_atom_site_fract_z
Na1 0.000 0.000 0.000
Sc1 0.500 0.500 0.000
Cu1 0.500 0.500 0.500
Se1 0.000 0.500 0.500
```

Computed properties:
The formation energy from raw total energies comes out at -0.105 eV/atom. The calculation puts the polymorph energy (0 for the lowest one) at 806.3 meV per atom. The density of states at the Fermi level comes out at 0.651 states/eV/atom. The total energy comes out at -3.8484 eV per atom. The calculation puts the total magnetization at 0.000 μB per atom.

A relaxed Na2Sc3CuSe6 crystal. Source: the Alexandria database, functional GGA-PBE.

```
data_Na2Sc3CuSe6
_chemical_formula_sum 'Na4 Sc6 Cu2 Se12'
_space_group_name_H-M_alt 'C 1 2/m 1'
_space_group_IT_number 12
_cell_length_a 6.782
_cell_length_b 11.745
_cell_length_c 7.002
_cell_angle_alpha 90.00
_cell_angle_beta 107.60
_cell_angle_gamma 90.00
loop_
_space_group_symop_operation_xyz
'x,y,z'
'-x,-y,-z'
'-x,y,-z'
'x,-y,z'
'x+1/2,y+1/2,z'
'-x+1/2,-y+1/2,-z'
'-x+1/2,y+1/2,-z'
'x+1/2,-y+1/2,z'
loop_
_atom_site_label
_atom_site_fract_x
_atom_site_fract_y
_atom_site_fract_z
Na1 0.000 0.167 0.000
Sc1 0.000 0.000 0.500
Sc2 0.000 0.333 0.500
Cu1 0.000 0.500 0.000
Se1 0.226 0.500 0.737
Se2 0.244 0.162 0.728
```

Computed properties:
The formation energy from raw total energies comes out at -1.358 eV/atom. The total energy comes out at -5.2446 eV per atom. The calculation puts the total magnetization at 0.000 μB per atom.

A relaxed NaSc2Cu2Se4 crystal. Source: the Alexandria database, functional GGA-PBE.

```
data_NaSc2Cu2Se4
_chemical_formula_sum 'Na2 Sc4 Cu4 Se8'
_space_group_name_H-M_alt 'C 1 2/m 1'
_space_group_IT_number 12
_cell_length_a 14.771
_cell_length_b 3.667
_cell_length_c 8.091
_cell_angle_alpha 90.00
_cell_angle_beta 118.18
_cell_angle_gamma 90.00
loop_
_space_group_symop_operation_xyz
'x,y,z'
'-x,-y,-z'
'-x,y,-z'
'x,-y,z'
'x+1/2,y+1/2,z'
'-x+1/2,-y+1/2,-z'
'-x+1/2,y+1/2,-z'
'x+1/2,-y+1/2,z'
loop_
_atom_site_label
_atom_site_fract_x
_atom_site_fract_y
_atom_site_fract_z
Na1 0.000 0.000 0.000
Sc1 0.113 0.000 0.611
Cu1 0.186 0.500 0.400
Se1 0.001 0.500 0.294
Se2 0.232 0.000 0.238
```

Computed properties:
The formation energy from raw total energies comes out at -1.002 eV/atom. The density of states at the Fermi level comes out at 0.293 states/eV/atom. The total energy comes out at -5.0140 eV per atom. The calculation puts the total magnetization at 0.083 μB per atom.

A relaxed NaScCuTe2 crystal. Source: the Alexandria database, functional GGA-PBE.

```
data_NaScCuTe2
_chemical_formula_sum 'Na2 Sc2 Cu2 Te4'
_space_group_name_H-M_alt 'P 1 2/c 1'
_space_group_IT_number 13
_cell_length_a 7.660
_cell_length_b 4.441
_cell_length_c 8.093
_cell_angle_alpha 90.00
_cell_angle_beta 96.81
_cell_angle_gamma 90.00
loop_
_space_group_symop_operation_xyz
'x,y,z'
'-x,-y,-z'
'-x,y,-z+1/2'
'x,-y,z+1/2'
loop_
_atom_site_label
_atom_site_fract_x
_atom_site_fract_y
_atom_site_fract_z
Na1 0.000 0.122 0.250
Sc1 0.500 0.497 0.750
Cu1 0.500 0.000 0.000
Te1 0.241 0.351 0.973
```

Computed properties:
The formation energy from raw total energies comes out at -0.638 eV/atom. The density of states at the Fermi level comes out at 0.499 states/eV/atom. The total energy comes out at -4.2441 eV per atom. The calculation puts the total magnetization at 0.000 μB per atom.

A relaxed NaCu2Se2 crystal. Source: the Alexandria database, functional GGA-PBE.

```
data_NaCu2Se2
_chemical_formula_sum 'Na4 Cu8 Se8'
_space_group_name_H-M_alt 'C 1 2/c 1'
_space_group_IT_number 15
_cell_length_a 8.352
_cell_length_b 10.145
_cell_length_c 6.494
_cell_angle_alpha 90.00
_cell_angle_beta 129.92
_cell_angle_gamma 90.00
loop_
_space_group_symop_operation_xyz
'x,y,z'
'-x,-y,-z'
'-x,y,-z+1/2'
'x,-y,z+1/2'
'x+1/2,y+1/2,z'
'-x+1/2,-y+1/2,-z'
'-x+1/2,y+1/2,-z+1/2'
'x+1/2,-y+1/2,z+1/2'
loop_
_atom_site_label
_atom_site_fract_x
_atom_site_fract_y
_atom_site_fract_z
Na1 0.000 0.125 0.250
Cu1 0.133 0.375 0.016
Se1 0.000 0.171 0.750
Se2 0.000 0.421 0.250
```

Computed properties:
The formation energy from raw total energies comes out at -0.408 eV/atom. The density of states at the Fermi level comes out at 0.771 states/eV/atom. The total energy comes out at -3.7039 eV per atom. The calculation puts the total magnetization at 0.000 μB per atom.

- What is the formation energy from raw total energies in the third record?
  -1.358 eV/atom